[1]
The following is a PBE calculation of crystalline PmGdIrRh at its relaxed geometry, from Alexandria.

Lattice parameters (Å, degrees): 6.9799 6.9799 6.9799 90.00 90.00 90.00
With the nearest neighbours (Å) after each atom.
Space group F-43m (No. 216)
Symmetry-distinct sites (fractional):
Pm1 0.0000 0.0000 0.0000 [4 per cell]  4 Ir 3.02, 4 Rh 3.02
Gd1 0.0000 0.0000 0.5000 [4 per cell]  4 Rh 3.02, 4 Ir 3.02
Ir1 0.2500 0.2500 0.7500 [4 per cell]  4 Gd 3.02, 4 Pm 3.02
Rh1 0.2500 0.2500 0.2500 [4 per cell]  4 Gd 3.02, 4 Pm 3.02

***

[2]
The following is a PBE calculation of crystalline PmGdIrRu at its relaxed geometry, from Alexandria.

Lattice parameters (Å, degrees): 6.9520 6.9520 6.9520 90.00 90.00 90.00
With the nearest neighbours (Å) after each atom.
Space group F-43m (No. 216)
Symmetry-distinct sites (fractional):
Pm1 0.0000 0.0000 0.0000 [4 per cell]  4 Ir 3.01, 4 Ru 3.01
Gd1 0.0000 0.0000 0.5000 [4 per cell]  4 Ru 3.01, 4 Ir 3.01
Ir1 0.2500 0.2500 0.7500 [4 per cell]  4 Gd 3.01, 4 Pm 3.01
Ru1 0.2500 0.2500 0.2500 [4 per cell]  4 Gd 3.01, 4 Pm 3.01

***

[3]
The following is a PBE calculation of crystalline PmGdSnIr at its relaxed geometry, from Alexandria.

Lattice parameters (Å, degrees): 7.3288 7.3288 7.3288 90.00 90.00 90.00
With the nearest neighbours (Å) after each atom.
Space group F-43m (No. 216)
Symmetry-distinct sites (fractional):
Pm1 0.0000 0.0000 0.0000 [4 per cell]  4 Sn 3.17, 4 Ir 3.17
Gd1 0.0000 0.0000 0.5000 [4 per cell]  4 Sn 3.17, 4 Ir 3.17
Sn1 0.2500 0.2500 0.2500 [4 per cell]  4 Gd 3.17, 4 Pm 3.17
Ir1 0.2500 0.2500 0.7500 [4 per cell]  4 Gd 3.17, 4 Pm 3.17

***

[4]
The following is a PBE calculation of crystalline PrGdIr at its relaxed geometry, from Alexandria.

Lattice parameters (Å, degrees): 6.9563 6.9563 6.9563 90.00 90.00 90.00
With the nearest neighbours (Å) after each atom.
Space group F-43m (No. 216)
Symmetry-distinct sites (fractional):
Pr1 0.0000 0.0000 0.0000 [4 per cell]  4 Ir 3.01
Gd1 0.0000 0.0000 0.5000 [4 per cell]  4 Ir 3.01
Ir1 0.2500 0.2500 0.7500 [4 per cell]  4 Gd 3.01, 4 Pr 3.01

distance to the lowest polymorph of the same formula: 0.000 eV per atom

***

[5]
The following is a PBE calculation of crystalline PrGdIr4 at its relaxed geometry, from Alexandria.

Lattice parameters (Å, degrees): 7.6676 7.6676 7.6676 90.00 90.00 90.00
With the nearest neighbours (Å) after each atom.
Space group F-43m (No. 216)
Symmetry-distinct sites (fractional):
Pr1 0.0000 0.0000 0.0000 [4 per cell]  12 Ir 3.18, 4 Gd 3.32
Gd1 0.2500 0.2500 0.2500 [4 per cell]  12 Ir 3.18, 4 Pr 3.32
Ir1 0.1249 0.1249 0.6249 [16 per cell]  6 Ir 2.71

***

[6]
The following is a PBE calculation of crystalline PrGdIr2 at its relaxed geometry, from Alexandria.

Lattice parameters (Å, degrees): 4.8812 4.8812 3.6538 90.00 90.00 90.00
With the nearest neighbours (Å) after each atom.
Space group P4/mmm (No. 123)
Symmetry-distinct sites (fractional):
Pr1 0.0000 0.0000 0.0000 [1 per cell]  8 Ir 3.05
Gd1 0.5000 0.5000 0.0000 [1 per cell]  8 Ir 3.05
Ir1 0.0000 0.5000 0.5000 [2 per cell]  4 Gd 3.05, 4 Pr 3.05

distance to the lowest polymorph of the same formula: 0.003 eV per atom

***

[7]
The following is a PBE calculation of crystalline PrGdIr at its relaxed geometry, from Alexandria.

Lattice parameters (Å, degrees): 3.5606 3.5606 13.1702 90.00 90.00 90.00
With the nearest neighbours (Å) after each atom.
Space group I4mm (No. 107)
Symmetry-distinct sites (fractional):
Pr1 0.0000 0.0000 0.0000 [2 per cell]  4 Ir 3.06, 1 Gd 3.30
Gd1 0.0000 0.0000 0.2505 [2 per cell]  4 Ir 2.96, 1 Pr 3.30
Ir1 0.0000 0.0000 0.6321 [2 per cell]  4 Gd 2.96, 4 Pr 3.06

distance to the lowest polymorph of the same formula: 0.112 eV per atom

***

[8]
The following is a PBE calculation of crystalline PrGdIr at its relaxed geometry, from Alexandria.

Lattice parameters (Å, degrees): 4.1922 4.1922 6.3560 90.00 90.00 120.00
With the nearest neighbours (Å) after each atom.
Space group P3m1 (No. 156)
Symmetry-distinct sites (fractional):
Pr1 0.0000 0.0000 0.0000 [1 per cell]  3 Ir 2.86
Gd1 0.3333 0.6667 0.4590 [1 per cell]  3 Ir 2.79
Ir1 0.6667 0.3333 0.2402 [1 per cell]  3 Gd 2.79, 3 Pr 2.86

distance to the lowest polymorph of the same formula: 0.060 eV per atom

***

[9]
The following is a PBE calculation of crystalline PrGdIr2 at its relaxed geometry, from Alexandria.

Lattice parameters (Å, degrees): 7.0396 7.0396 7.0396 90.00 90.00 90.00
With the nearest neighbours (Å) after each atom.
Space group Fm-3m (No. 225)
Symmetry-distinct sites (fractional):
Pr1 0.0000 0.0000 0.0000 [4 per cell]  8 Ir 3.05
Gd1 0.0000 0.0000 0.5000 [4 per cell]  8 Ir 3.05
Ir1 0.2500 0.2500 0.2500 [8 per cell]  4 Gd 3.05, 4 Pr 3.05

distance to the lowest polymorph of the same formula: 0.000 eV per atom

***

[10]
The following is a PBE calculation of crystalline PrGdIrPt at its relaxed geometry, from Alexandria.

Lattice parameters (Å, degrees): 7.1015 7.1015 7.1015 90.00 90.00 90.00
With the nearest neighbours (Å) after each atom.
Space group F-43m (No. 216)
Symmetry-distinct sites (fractional):
Pr1 0.0000 0.0000 0.0000 [4 per cell]  4 Ir 3.08, 4 Pt 3.08
Gd1 0.0000 0.0000 0.5000 [4 per cell]  4 Ir 3.08, 4 Pt 3.08
Ir1 0.2500 0.2500 0.7500 [4 per cell]  4 Gd 3.08, 4 Pr 3.08
Pt1 0.2500 0.2500 0.2500 [4 per cell]  4 Gd 3.08, 4 Pr 3.08

***

[11]
The following is a PBE calculation of crystalline PrGdIrRh at its relaxed geometry, from Alexandria.

Lattice parameters (Å, degrees): 7.0347 7.0347 7.0347 90.00 90.00 90.00
With the nearest neighbours (Å) after each atom.
Space group F-43m (No. 216)
Symmetry-distinct sites (fractional):
Pr1 0.0000 0.0000 0.0000 [4 per cell]  4 Rh 3.05, 4 Ir 3.05
Gd1 0.0000 0.0000 0.5000 [4 per cell]  4 Ir 3.05, 4 Rh 3.05
Ir1 0.2500 0.2500 0.2500 [4 per cell]  4 Gd 3.05, 4 Pr 3.05
Rh1 0.2500 0.2500 0.7500 [4 per cell]  4 Gd 3.05, 4 Pr 3.05

***

[12]
The following is a PBE calculation of crystalline PrGdIrRu at its relaxed geometry, from Alexandria.

Lattice parameters (Å, degrees): 7.0064 7.0064 7.0064 90.00 90.00 90.00
With the nearest neighbours (Å) after each atom.
Space group F-43m (No. 216)
Symmetry-distinct sites (fractional):
Pr1 0.0000 0.0000 0.0000 [4 per cell]  4 Ir 3.03, 4 Ru 3.03
Gd1 0.0000 0.0000 0.5000 [4 per cell]  4 Ru 3.03, 4 Ir 3.03
Ir1 0.2500 0.2500 0.7500 [4 per cell]  4 Gd 3.03, 4 Pr 3.03
Ru1 0.2500 0.2500 0.2500 [4 per cell]  4 Gd 3.03, 4 Pr 3.03

***

DFT formation energy, respectively: -16.7, -10.1, -12.5, -12.9, -16.6, -13.7, -10.4, -11.6, -13.8, -19.6, -15.3, -8.5 kcal/mol of atoms.
Spin magnetization, respectively: 6.96, 7.04, 6.99, 7.30, 7.01, 6.99, 7.20, 7.19, 6.72, 7.03, 6.97, 7.04 μB per formula unit.